(1)
The following is a PBE-GGA calculation of crystalline Tl5P at its relaxed geometry, from the Alexandria database.

Output
For the offset from the most stable computed form, the calculation gives 0.195 eV/f.u. The energy relative to the elements comes out at 131 meV/atom. The density of states at the Fermi level comes out at 0.44 states/eV/atom.

Unit cell a=5.2573 b=4.3347 c=7.9502 alpha=105.82 beta=90.00 gamma=90.00
Atoms (fractional coordinates):
Tl (0.5000, 0.8338, 0.6677)
Tl (0.5000, 0.5000, 0.0000)
Tl (0.0000, 0.6404, 0.2807)
Tl (0.0000, 0.3596, 0.7193)
Tl (0.5000, 0.1662, 0.3323)
P (0.0000, 0.0000, 0.0000)

(2)
The following is a PBE-GGA calculation of crystalline LaSbCl2 at its relaxed geometry, from the Alexandria database.

Output
For the offset from the most stable computed form, the calculation gives 0.247 eV/f.u. The density of states at the Fermi level comes out at 0.06 states/eV/atom. The calculation puts the formation energy (no corrections) at -1.37 eV/atom.

Unit cell a=6.0375 b=6.0375 c=5.2128 alpha=81.43 beta=81.43 gamma=40.65
Atoms (fractional coordinates):
La (0.7500, 0.7500, 0.7500)
Cl (0.4282, 0.4282, 0.5458)
Cl (0.0718, 0.0718, 0.9542)
Sb (0.2500, 0.2500, 0.2500)

(3)
The following is a PBE-GGA calculation of crystalline Y3Ni at its relaxed geometry, from the Alexandria database.

Output
The energy relative to the elements comes out at -149 meV/atom. The density of states at the Fermi level comes out at 1.43 states/eV/atom.

Unit cell a=3.4576 b=3.4576 c=8.7490 alpha=90.00 beta=90.00 gamma=90.00
Atoms (fractional coordinates):
Y (0.0000, 0.0000, 0.5000)
Y (0.5000, 0.5000, 0.8137)
Y (0.5000, 0.5000, 0.1863)
Ni (0.0000, 0.0000, 0.0000)

(4)
The following is a PBE-GGA calculation of crystalline TiTcW at its relaxed geometry, from the Alexandria database.

Output
For the offset from the most stable computed form, the calculation gives 0.487 eV/f.u. The energy relative to the elements comes out at -211 meV/atom. The density of states at the Fermi level comes out at 0.58 states/eV/atom.

Unit cell a=6.2990 b=3.1282 c=9.9767 alpha=90.00 beta=108.97 gamma=90.00
Atoms (fractional coordinates):
Tc (0.9858, 0.5000, 0.1927)
Tc (0.9858, 0.0000, 0.6927)
Tc (0.3212, 0.0000, 0.3625)
Tc (0.3212, 0.5000, 0.8625)
W (0.4807, 0.0000, 0.6949)
W (0.4807, 0.5000, 0.1949)
W (0.1562, 0.5000, 0.5304)
W (0.1562, 0.0000, 0.0304)
Ti (0.6549, 0.5000, 0.5277)
Ti (0.8236, 0.5000, 0.8537)
Ti (0.8236, 0.0000, 0.3537)
Ti (0.6549, 0.0000, 0.0277)